DFT (PBE) results for a relaxed structure of RbTlGe2.

- Energy: -0.2164 Ry/atom
- E_form: 198 meV per atom
- Polymorph energy (0 for the lowest one): 0 meV per atom
- Volume: 577.5 Å³ per cell
- Size of the total moment: 0.0 μB per formula unit

The structure in CIF format:
```
data_RbTlGe2
_cell_length_a 5.3446
_cell_length_b 5.3446
_cell_length_c 20.2179
_cell_angle_alpha 90.00
_cell_angle_beta 90.00
_cell_angle_gamma 90.00
_space_group_name_H-M_alt 'I 41/a m d'
_space_group_IT_number 141
loop_
_space_group_symop_operation_xyz
'x,y,z'
'-x,-y,-z'
'-y+1/4,x+3/4,z+1/4'
'y+1/4,-x+3/4,-z+1/4'
'-x+1/2,-y,z+1/2'
'x+1/2,y,-z+1/2'
'y+1/4,-x+1/4,z+3/4'
'-y+1/4,x+1/4,-z+3/4'
'x,-y,-z'
'-x,y,z'
'-y+1/4,-x+1/4,-z+3/4'
'y+1/4,x+1/4,z+3/4'
'-x+1/2,y,-z+1/2'
'x+1/2,-y,z+1/2'
'y+1/4,x+3/4,-z+1/4'
'-y+1/4,-x+3/4,z+1/4'
'x+1/2,y+1/2,z+1/2'
'-x+1/2,-y+1/2,-z+1/2'
'-y+3/4,x+1/4,z+3/4'
'y+3/4,-x+1/4,-z+3/4'
'-x,-y+1/2,z'
'x,y+1/2,-z'
'y+3/4,-x+3/4,z+1/4'
'-y+3/4,x+3/4,-z+1/4'
'x+1/2,-y+1/2,-z+1/2'
'-x+1/2,y+1/2,z+1/2'
'-y+3/4,-x+3/4,-z+1/4'
'y+3/4,x+3/4,z+1/4'
'-x,y+1/2,-z'
'x,-y+1/2,z'
'y+3/4,x+1/4,-z+3/4'
'-y+3/4,-x+1/4,z+3/4'
loop_
_atom_site_label
_atom_site_type_symbol
_atom_site_fract_x
_atom_site_fract_y
_atom_site_fract_z
_atom_site_occupancy
Rb1 Rb 0.0000 0.2500 0.3750 1
Tl1 Tl 0.0000 0.2500 0.8750 1
Ge1 Ge 0.0000 0.0000 0.0000 1
```

=====

DFT (PBE) results for a relaxed structure of RbTl2VGe.

- Energy: -0.1639 Ry/atom
- E_form: 1658 meV per atom
- Volume: 200.8 Å³ per cell
- Size of the total moment: 3.7 μB per formula unit

The structure in CIF format:
```
data_RbTl2VGe
_cell_length_a 6.1066
_cell_length_b 6.1066
_cell_length_c 5.3854
_cell_angle_alpha 90.00
_cell_angle_beta 90.00
_cell_angle_gamma 90.00
_space_group_name_H-M_alt 'P 4/m m m'
_space_group_IT_number 123
_space_group_name_Hall '-P 4 2'
loop_
_atom_site_label
_atom_site_type_symbol
_atom_site_fract_x
_atom_site_fract_y
_atom_site_fract_z
_atom_site_occupancy
Rb1 Rb 0.0000 0.0000 0.0000 1
Tl1 Tl 0.0000 0.5000 0.0000 1
V1 V 0.0000 0.0000 0.5000 1
Ge1 Ge 0.5000 0.5000 0.5000 1
```

=====

DFT (PBE) results for a relaxed structure of RbVGe2.

- Energy: -0.3339 Ry/atom
- E_form: 288 meV per atom
- Polymorph energy (0 for the lowest one): 0 meV per atom
- Volume: 538.6 Å³ per cell
- Size of the total moment: 0.5 μB per formula unit

The structure in CIF format:
```
data_RbVGe2
_cell_length_a 6.0167
_cell_length_b 6.0167
_cell_length_c 14.8781
_cell_angle_alpha 90.00
_cell_angle_beta 90.00
_cell_angle_gamma 90.00
_space_group_name_H-M_alt 'I 41/a m d'
_space_group_IT_number 141
loop_
_space_group_symop_operation_xyz
'x,y,z'
'-x,-y,-z'
'-y+1/4,x+3/4,z+1/4'
'y+1/4,-x+3/4,-z+1/4'
'-x+1/2,-y,z+1/2'
'x+1/2,y,-z+1/2'
'y+1/4,-x+1/4,z+3/4'
'-y+1/4,x+1/4,-z+3/4'
'x,-y,-z'
'-x,y,z'
'-y+1/4,-x+1/4,-z+3/4'
'y+1/4,x+1/4,z+3/4'
'-x+1/2,y,-z+1/2'
'x+1/2,-y,z+1/2'
'y+1/4,x+3/4,-z+1/4'
'-y+1/4,-x+3/4,z+1/4'
'x+1/2,y+1/2,z+1/2'
'-x+1/2,-y+1/2,-z+1/2'
'-y+3/4,x+1/4,z+3/4'
'y+3/4,-x+1/4,-z+3/4'
'-x,-y+1/2,z'
'x,y+1/2,-z'
'y+3/4,-x+3/4,z+1/4'
'-y+3/4,x+3/4,-z+1/4'
'x+1/2,-y+1/2,-z+1/2'
'-x+1/2,y+1/2,z+1/2'
'-y+3/4,-x+3/4,-z+1/4'
'y+3/4,x+3/4,z+1/4'
'-x,y+1/2,-z'
'x,-y+1/2,z'
'y+3/4,x+1/4,-z+3/4'
'-y+3/4,-x+1/4,z+3/4'
loop_
_atom_site_label
_atom_site_type_symbol
_atom_site_fract_x
_atom_site_fract_y
_atom_site_fract_z
_atom_site_occupancy
Rb1 Rb 0.0000 0.2500 0.3750 1
V1 V 0.0000 0.2500 0.8750 1
Ge1 Ge 0.0000 0.0000 0.0000 1
```

=====

DFT (PBE) results for a relaxed structure of Rb2V2Ge.

- Energy: -0.3085 Ry/atom
- E_form: 760 meV per atom
- Polymorph energy (0 for the lowest one): 0 meV per atom
- Volume: 265.7 Å³ per cell
- Size of the total moment: 1.7 μB per formula unit

The structure in CIF format:
```
data_Rb2V2Ge
_cell_length_a 6.5546
_cell_length_b 6.5546
_cell_length_c 6.1842
_cell_angle_alpha 90.00
_cell_angle_beta 90.00
_cell_angle_gamma 90.00
_space_group_name_H-M_alt 'P 4/m b m'
_space_group_IT_number 127
_space_group_name_Hall '-P 4 2ab'
loop_
_atom_site_label
_atom_site_type_symbol
_atom_site_fract_x
_atom_site_fract_y
_atom_site_fract_z
_atom_site_occupancy
Rb1 Rb 0.2167 0.2833 0.0000 1
V1 V 0.1051 0.6051 0.5000 1
Ge1 Ge 0.0000 0.0000 0.5000 1
```

=====

DFT (PBE) results for a relaxed structure of RbV2Ge.

- Energy: -0.3611 Ry/atom
- E_form: 1043 meV per atom
- Volume: 402.2 Å³ per cell
- Size of the total moment: 0.4 μB per formula unit

The structure in CIF format:
```
data_RbV2Ge
_cell_length_a 4.6638
_cell_length_b 4.6638
_cell_length_c 18.4888
_cell_angle_alpha 90.00
_cell_angle_beta 90.00
_cell_angle_gamma 90.00
_space_group_name_H-M_alt 'I 41/a m d'
_space_group_IT_number 141
loop_
_space_group_symop_operation_xyz
'x,y,z'
'-x,-y,-z'
'-y+1/4,x+3/4,z+1/4'
'y+1/4,-x+3/4,-z+1/4'
'-x+1/2,-y,z+1/2'
'x+1/2,y,-z+1/2'
'y+1/4,-x+1/4,z+3/4'
'-y+1/4,x+1/4,-z+3/4'
'x,-y,-z'
'-x,y,z'
'-y+1/4,-x+1/4,-z+3/4'
'y+1/4,x+1/4,z+3/4'
'-x+1/2,y,-z+1/2'
'x+1/2,-y,z+1/2'
'y+1/4,x+3/4,-z+1/4'
'-y+1/4,-x+3/4,z+1/4'
'x+1/2,y+1/2,z+1/2'
'-x+1/2,-y+1/2,-z+1/2'
'-y+3/4,x+1/4,z+3/4'
'y+3/4,-x+1/4,-z+3/4'
'-x,-y+1/2,z'
'x,y+1/2,-z'
'y+3/4,-x+3/4,z+1/4'
'-y+3/4,x+3/4,-z+1/4'
'x+1/2,-y+1/2,-z+1/2'
'-x+1/2,y+1/2,z+1/2'
'-y+3/4,-x+3/4,-z+1/4'
'y+3/4,x+3/4,z+1/4'
'-x,y+1/2,-z'
'x,-y+1/2,z'
'y+3/4,x+1/4,-z+3/4'
'-y+3/4,-x+1/4,z+3/4'
loop_
_atom_site_label
_atom_site_type_symbol
_atom_site_fract_x
_atom_site_fract_y
_atom_site_fract_z
_atom_site_occupancy
Rb1 Rb 0.0000 0.2500 0.3750 1
V1 V 0.0000 0.0000 0.0000 1
Ge1 Ge 0.0000 0.2500 0.8750 1
```

=====

DFT (PBE) results for a relaxed structure of Rb2VGe.

- Energy: -0.2442 Ry/atom
- E_form: 596 meV per atom
- Volume: 902.0 Å³ per cell
- Size of the total moment: 3.5 μB per formula unit

The structure in CIF format:
```
data_Rb2VGe
_cell_length_a 13.5928
_cell_length_b 13.5928
_cell_length_c 4.8819
_cell_angle_alpha 90.00
_cell_angle_beta 90.00
_cell_angle_gamma 90.00
_space_group_name_H-M_alt 'I -4 2 d'
_space_group_IT_number 122
_space_group_name_Hall 'I -4 2bw'
loop_
_atom_site_label
_atom_site_type_symbol
_atom_site_fract_x
_atom_site_fract_y
_atom_site_fract_z
_atom_site_occupancy
Rb1 Rb 0.0061 0.2500 0.1250 1
V1 V 0.0000 0.0000 0.0000 1
Ge1 Ge 0.0000 0.0000 0.5000 1
```